## Ba3Pa5Se12 (PBE)

Data for Ba3Pa5Se12 after structural relaxation.

POSCAR file:
```
Ba3Pa5Se12
1.0
-8.931 8.931 8.931
8.931 -8.931 8.931
8.931 8.931 -8.931
Ba Pa Se
12 20 48
Direct
0.125 0.250 0.375
0.125 0.375 0.750
0.250 0.375 0.125
0.250 0.875 0.625
0.375 0.125 0.250
0.375 0.750 0.125
0.625 0.250 0.875
0.625 0.875 0.750
0.750 0.125 0.375
0.750 0.625 0.875
0.875 0.625 0.250
0.875 0.750 0.625
0.000 0.000 0.000
0.000 0.000 0.500
0.000 0.500 0.000
0.000 0.500 0.500
0.125 0.750 0.875
0.125 0.875 0.250
0.250 0.125 0.875
0.250 0.625 0.375
0.375 0.250 0.625
0.375 0.625 0.750
0.500 0.000 0.000
0.500 0.000 0.500
0.500 0.500 0.000
0.500 0.500 0.500
0.625 0.375 0.250
0.625 0.750 0.375
0.750 0.375 0.625
0.750 0.875 0.125
0.875 0.125 0.750
0.875 0.250 0.125
0.033 0.208 0.120
0.033 0.326 0.913
0.087 0.620 0.413
0.087 0.708 0.674
0.087 0.880 0.413
0.087 0.967 0.674
0.120 0.033 0.208
0.120 0.587 0.913
0.174 0.208 0.587
0.174 0.467 0.587
0.208 0.120 0.033
0.208 0.587 0.174
0.292 0.326 0.913
0.292 0.467 0.380
0.326 0.913 0.033
0.326 0.913 0.292
0.380 0.292 0.467
0.380 0.587 0.913
0.413 0.087 0.620
0.413 0.087 0.880
0.413 0.826 0.533
0.413 0.826 0.792
0.467 0.380 0.292
0.467 0.587 0.174
0.533 0.413 0.826
0.533 0.620 0.708
0.587 0.174 0.208
0.587 0.174 0.467
0.587 0.913 0.120
0.587 0.913 0.380
0.620 0.413 0.087
0.620 0.708 0.533
0.674 0.087 0.708
0.674 0.087 0.967
0.708 0.533 0.620
0.708 0.674 0.087
0.792 0.413 0.826
0.792 0.880 0.967
0.826 0.533 0.413
0.826 0.792 0.413
0.880 0.413 0.087
0.880 0.967 0.792
0.913 0.033 0.326
0.913 0.120 0.587
0.913 0.292 0.326
0.913 0.380 0.587
0.967 0.674 0.087
0.967 0.792 0.880
```

Summary:
Calculated total energy = -0.224 Ha/atom
Crystal system = cubic